The following is a GGA-PBE calculation of MnOs2Au after structural relaxation, from Alexandria.

Results
The energy relative to the lowest polymorph listed for this composition comes out at 0.1479 eV/atom. Its spin magnetization is 0.67 μB/atom. For the raw total energy, the calculation gives -8.353 eV per atom.

Cell: 5.5200 5.5200 5.5200 Å, 150.64 132.48 56.85°
With the nearest neighbours (Å) after each atom.
Positions (direct):
Mn 0.0000 0.0000 0.0000  4 Os 2.53, 4 Au 2.63, 2 Mn 2.80
Os 0.2174 0.7174 0.5000  2 Mn 2.53, 6 Os 2.70-2.80
Os 0.7826 0.2826 0.5000  2 Mn 2.53, 6 Os 2.70-2.80
Au 0.5000 0.5000 0.0000  4 Mn 2.63, 2 Au 2.80

The following is a GGA-PBE calculation of Ta2ReMoH after structural relaxation, from Alexandria.

Results
The energy relative to the lowest polymorph listed for this composition comes out at 0.0000 eV/atom. Its spin magnetization is 0.00 μB/atom. For the raw total energy, the calculation gives -10.195 eV per atom.

Cell: 4.5372 4.5372 3.3720 Å, 90.00 90.00 90.00°
With the nearest neighbours (Å) after each atom.
Positions (direct):
Ta 0.0000 0.5000 0.0000  2 H 2.27
Ta 0.5000 0.0000 0.0000  2 H 2.27
Re 0.0000 0.0000 0.5000  8 Ta 2.83
Mo 0.5000 0.5000 0.5000  2 H 1.69
H 0.5000 0.5000 0.0000  2 Mo 1.69

The following is a GGA-PBE calculation of AlSe2N2 after structural relaxation, from Alexandria.

Results
The energy relative to the lowest polymorph listed for this composition comes out at 0.4973 eV/atom. Its spin magnetization is 0.00 μB/atom. For the raw total energy, the calculation gives -4.184 eV per atom. The uncorrected formation energy is 1.288 eV per atom.

Cell: 3.7223 3.7223 7.2208 Å, 90.00 90.00 90.00°
With the nearest neighbours (Å) after each atom.
Positions (direct):
Al 0.0000 0.0000 0.0000  4 Se 2.63
Se 0.5000 0.5000 0.0000  4 Al 2.63
Se 0.5000 0.5000 0.5000  4 N 1.86
N 0.0000 0.5000 0.5000  2 Se 1.86
N 0.5000 0.0000 0.5000  2 Se 1.86

The following is a GGA-PBE calculation of Mg2Cd5Ag5 after structural relaxation, from Alexandria.

Results
The energy relative to the lowest polymorph listed for this composition comes out at 0.0000 eV/atom. Its spin magnetization is 0.00 μB/atom. For the raw total energy, the calculation gives -1.935 eV per atom.

Cell: 6.7244 6.7244 9.8501 Å, 114.72 114.72 35.69°
With the nearest neighbours (Å) after each atom.
Positions (direct):
Mg 0.0812 0.0812 0.2548  7 Ag 2.91-3.10, 5 Cd 3.00-3.11
Mg 0.9188 0.9188 0.7452  7 Ag 2.91-3.10, 5 Cd 3.00-3.11
Cd 0.0000 0.0000 0.5000  8 Ag 2.97-3.03, 2 Mg 3.02, 2 Cd 3.02
Cd 0.1628 0.1628 0.0001  5 Ag 2.93-3.11, 2 Mg 3.03-3.11, 5 Cd 3.04-3.17
Cd 0.2479 0.2479 0.7431  6 Ag 2.99-3.11, 2 Mg 3.00, 4 Cd 3.02-3.17
Cd 0.7521 0.7521 0.2569  6 Ag 2.99-3.11, 2 Mg 3.00, 4 Cd 3.02-3.17
Cd 0.8372 0.8372 0.9999  5 Ag 2.93-3.11, 2 Mg 3.03-3.11, 5 Cd 3.04-3.17
Ag 0.3347 0.3347 0.5060  3 Mg 2.95-3.10, 4 Ag 2.96-3.15, 5 Cd 2.97-3.02
Ag 0.4186 0.4186 0.2496  2 Mg 2.91, 7 Cd 2.99-3.11, 3 Ag 3.02-3.15
Ag 0.5000 0.5000 0.0000  6 Cd 2.93-3.11, 4 Mg 3.06, 2 Ag 3.06
Ag 0.5814 0.5814 0.7504  2 Mg 2.91, 7 Cd 2.99-3.11, 3 Ag 3.02-3.15
Ag 0.6653 0.6653 0.4940  3 Mg 2.95-3.10, 4 Ag 2.96-3.15, 5 Cd 2.97-3.02

The following is a GGA-PBE calculation of TbCrAs2Rh5 after structural relaxation, from Alexandria.

Results
Its spin magnetization is 0.10 μB/atom. For the raw total energy, the calculation gives -6.870 eV per atom.

Cell: 3.9560 3.9560 10.7413 Å, 90.00 90.00 90.00°
With the nearest neighbours (Å) after each atom.
Positions (direct):
Tb 0.0000 0.0000 0.0000  4 Rh 2.80
Cr 0.5000 0.5000 0.5000  8 Rh 2.46
As 0.5000 0.5000 0.2217  5 Rh 2.38-2.50
As 0.5000 0.5000 0.7783  5 Rh 2.38-2.50
Rh 0.0000 0.5000 0.3639  2 Cr 2.46, 2 As 2.50
Rh 0.0000 0.5000 0.6361  2 Cr 2.46, 2 As 2.50
Rh 0.5000 0.0000 0.3639  2 Cr 2.46, 2 As 2.50
Rh 0.5000 0.0000 0.6361  2 Cr 2.46, 2 As 2.50
Rh 0.5000 0.5000 0.0000  2 As 2.38

The following is a GGA-PBE calculation of Mg2PbBr6 after structural relaxation, from Alexandria.

Results
The energy relative to the lowest polymorph listed for this composition comes out at 0.0363 eV/atom. Its spin magnetization is 0.00 μB/atom. For the raw total energy, the calculation gives -3.104 eV per atom. The uncorrected formation energy is -1.222 eV per atom.

Cell: 7.2966 7.2966 11.2584 Å, 92.58 92.58 34.08°
With the nearest neighbours (Å) after each atom.
Positions (direct):
Mg 0.2247 0.2247 0.2224  4 Br 2.48-2.60
Mg 0.7753 0.7753 0.7776  4 Br 2.48-2.60
Pb 0.5000 0.5000 0.5000  6 Br 3.01-3.08
Br 0.1439 0.1439 0.4256  1 Mg 2.60
Br 0.3340 0.3340 0.8813  2 Mg 2.55
Br 0.4020 0.4020 0.2560  1 Mg 2.48
Br 0.5980 0.5980 0.7440  1 Mg 2.48
Br 0.6660 0.6660 0.1187  2 Mg 2.55
Br 0.8561 0.8561 0.5744  1 Mg 2.60

The following is a GGA-PBE calculation of Np2Sn3Bi3 after structural relaxation, from Alexandria.

Results
Its spin magnetization is 1.01 μB/atom. For the raw total energy, the calculation gives -6.226 eV per atom.

Cell: 4.7532 4.8992 9.4243 Å, 90.00 90.00 90.00°
With the nearest neighbours (Å) after each atom.
Positions (direct):
Np 0.0000 0.0000 0.2462  6 Bi 3.32-3.42, 6 Sn 3.37-3.41
Np 0.0000 0.0000 0.7538  6 Bi 3.32-3.42, 6 Sn 3.37-3.41
Sn 0.0000 0.5000 0.0000  4 Sn 3.31, 4 Np 3.37, 4 Bi 3.41
Sn 0.5000 0.5000 0.2440  2 Sn 3.31, 6 Bi 3.36-3.44, 4 Np 3.41
Sn 0.5000 0.5000 0.7560  2 Sn 3.31, 6 Bi 3.36-3.44, 4 Np 3.41
Bi 0.0000 0.5000 0.5000  4 Sn 3.39, 4 Bi 3.41, 4 Np 3.42
Bi 0.5000 0.0000 0.0000  4 Np 3.32, 8 Sn 3.36-3.41
Bi 0.5000 0.0000 0.5000  4 Np 3.37, 4 Bi 3.41, 4 Sn 3.44

The following is a GGA-PBE calculation of LiNiRh2 after structural relaxation, from Alexandria.

Results
The energy relative to the lowest polymorph listed for this composition comes out at 0.0420 eV/atom. Its spin magnetization is 0.51 μB/atom. For the raw total energy, the calculation gives -5.620 eV per atom.

Cell: 8.7227 8.7227 8.7227 Å, 17.69 17.69 17.69°
With the nearest neighbours (Å) after each atom.
Positions (direct):
Li 0.0000 0.0000 0.0000  6 Li 2.68, 6 Rh 2.71
Ni 0.1665 0.1665 0.1665  6 Rh 2.58-2.59, 6 Ni 2.68
Rh 0.4196 0.4196 0.4196  3 Ni 2.58, 6 Rh 2.68, 3 Li 2.71
Rh 0.5804 0.5804 0.5804  3 Ni 2.59, 6 Rh 2.68, 3 Li 2.71

The following is a GGA-PBE calculation of Tb3PmEr after structural relaxation, from Alexandria.

Results
The energy relative to the lowest polymorph listed for this composition comes out at 0.0000 eV/atom. Its spin magnetization is 0.00 μB/atom. For the raw total energy, the calculation gives -4.627 eV per atom.

Cell: 6.2742 5.7060 9.5916 Å, 90.00 109.07 90.00°
With the nearest neighbours (Å) after each atom.
Positions (direct):
Tb 0.1339 0.2500 0.0988  5 Tb 3.53-3.64, 4 Er 3.53-3.62, 3 Pm 3.54-3.61
Tb 0.2674 0.7500 0.7015  3 Er 3.54-3.60, 3 Pm 3.54-3.65, 6 Tb 3.54-3.64
Tb 0.3348 0.2500 0.5006  7 Tb 3.53-3.64, 4 Pm 3.55-3.63, 1 Er 3.63
Tb 0.6652 0.7500 0.4994  7 Tb 3.53-3.64, 4 Pm 3.55-3.63, 1 Er 3.63
Tb 0.7326 0.2500 0.2985  3 Er 3.54-3.60, 3 Pm 3.54-3.65, 6 Tb 3.54-3.64
Tb 0.8661 0.7500 0.9012  5 Tb 3.53-3.64, 4 Er 3.53-3.62, 3 Pm 3.54-3.61
Pm 0.0670 0.7500 0.2993  10 Tb 3.54-3.65, 2 Er 3.62-3.63
Pm 0.9330 0.2500 0.7007  10 Tb 3.54-3.65, 2 Er 3.62-3.63
Er 0.4661 0.7500 0.0984  2 Er 3.52, 8 Tb 3.53-3.63, 2 Pm 3.62-3.63
Er 0.5339 0.2500 0.9016  2 Er 3.52, 8 Tb 3.53-3.63, 2 Pm 3.62-3.63

The following is a GGA-PBE calculation of K2In2Pd after structural relaxation, from Alexandria.

Results
The energy relative to the lowest polymorph listed for this composition comes out at 0.0850 eV/atom. Its spin magnetization is 0.00 μB/atom. For the raw total energy, the calculation gives -2.699 eV per atom.

Cell: 7.2092 7.2092 6.0680 Å, 90.00 90.00 90.00°
With the nearest neighbours (Å) after each atom.
Positions (direct):
K 0.1816 0.3184 0.0000  6 In 3.48-3.88, 5 K 3.70-3.74
K 0.3184 0.8184 0.0000  6 In 3.48-3.88, 5 K 3.70-3.74
K 0.6816 0.1816 0.0000  6 In 3.48-3.88, 5 K 3.70-3.74
K 0.8184 0.6816 0.0000  6 In 3.48-3.88, 5 K 3.70-3.74
In 0.1521 0.6521 0.5000  2 Pd 2.74
In 0.3479 0.1521 0.5000  2 Pd 2.74
In 0.6521 0.8479 0.5000  2 Pd 2.74
In 0.8479 0.3479 0.5000  2 Pd 2.74
Pd 0.0000 0.0000 0.5000  4 In 2.74
Pd 0.5000 0.5000 0.5000  4 In 2.74

The following is a GGA-PBE calculation of In2Sb3 after structural relaxation, from Alexandria.

Results
The energy relative to the lowest polymorph listed for this composition comes out at 0.1034 eV/atom. Its spin magnetization is 0.00 μB/atom. For the raw total energy, the calculation gives -3.472 eV per atom. The uncorrected formation energy is 0.097 eV per atom.

Cell: 8.0103 6.8285 9.2049 Å, 57.69 46.09 76.22°
With the nearest neighbours (Å) after each atom.
Positions (direct):
In 0.2096 0.7904 0.3984  6 Sb 3.01-3.29
In 0.6484 0.8516 0.4596  6 Sb 3.01-3.29
In 0.7904 0.2096 0.6016  6 Sb 3.01-3.29
In 0.8516 0.6484 0.0404  6 Sb 3.01-3.29
Sb 0.0840 0.2363 0.1130  1 Sb 3.00, 4 In 3.01-3.29
Sb 0.1370 0.6833 0.1660  1 Sb 3.00, 4 In 3.01-3.29
Sb 0.2363 0.0840 0.5667  1 Sb 3.00, 4 In 3.01-3.29
Sb 0.3964 0.3964 0.6036  2 Sb 3.00, 4 In 3.10-3.22
Sb 0.6464 0.6464 0.8536  2 Sb 3.00, 4 In 3.10-3.22
Sb 0.6833 0.1370 0.0137  1 Sb 3.00, 4 In 3.01-3.29

The following is a GGA-PBE calculation of Ag3BF6 after structural relaxation, from Alexandria.

Results
The energy relative to the lowest polymorph listed for this composition comes out at 0.0167 eV/atom. Its spin magnetization is 0.00 μB/atom. For the raw total energy, the calculation gives -4.090 eV per atom. The uncorrected formation energy is -1.444 eV per atom.

Cell: 6.4790 6.1175 5.1893 Å, 69.36 62.08 48.55°
With the nearest neighbours (Å) after each atom.
Positions (direct):
Ag 0.0000 0.0000 0.0000  6 F 2.44-2.51
Ag 0.2500 0.2500 0.2500  4 F 2.41
Ag 0.7500 0.7500 0.7500  4 F 2.41
B 0.5000 0.5000 0.5000  2 F 1.45
F 0.1892 0.5653 0.8108  1 B 1.78
F 0.3169 0.6831 0.3169  1 B 1.45
F 0.4347 0.8108 0.5653  1 B 1.78
F 0.5653 0.1892 0.4347  1 B 1.78
F 0.6831 0.3169 0.6831  1 B 1.45
F 0.8108 0.4347 0.1892  1 B 1.78